[1]
PBE NaYCu2, optimized geometry; DOS at the Fermi energy = 0.74 states/eV/atom; ΔE to the lowest computed polymorph = 0.298 eV/atom
1.0
7.4992 0.0000 0.0000
0.0000 7.4992 0.0000
3.7496 3.7496 3.0991
Y Na Cu
2 2 4
Direct
0.0000 0.0000 0.0000
0.7500 0.2500 0.5000
0.5000 0.5000 0.0000
0.2500 0.7500 0.5000
0.6162 0.1250 0.2500
0.1338 0.6250 0.2500
0.3750 0.3838 0.7500
0.8750 0.8662 0.7500



[2]
PBE BaInTe, optimized geometry; DOS at the Fermi energy = 1.17 states/eV/atom; E_form (uncorrected) = -502.2 meV/atom; ΔE to the lowest computed polymorph = 0.282 eV/atom
1.0
-2.5923 -3.8593 3.3171
-3.2442 -4.0690 -2.3529
1.7817 -5.4261 -0.0042
Ba In Te
1 1 1
Direct
0.7500 0.7500 0.7500
0.0000 0.0000 0.0000
0.5000 0.5000 0.5000